DFT (PBE) results for crystalline Zn2AsP at its relaxed geometry.

a b c (Å): 3.0860 3.0860 6.9938
angles (deg): 90.00 90.00 90.00
Fractional positions:
Zn (0.0000, 0.0000, 0.2268)
Zn (0.0000, 0.0000, 0.7732)
As (0.5000, 0.5000, 0.5000)
P (0.5000, 0.5000, 0.0000)

Summary:
calculated total energy	-2.827	eV/atom
space-group type	P4/mmm, No. 123
spin magnetization	0.00	μB/f.u.